Here is Ce8MgIr6 after structural relaxation from the Alexandria database. Energies are from PBE-GGA.

Unit cell a=10.330 b=10.330 c=4.010 alpha=90.00 beta=90.00 gamma=120.00
Element x y z (fractional)
Ce 0.054 0.325 0.233
Ce 0.271 0.946 0.233
Ce 0.325 0.271 0.767
Ce 0.333 0.667 0.745
Ce 0.667 0.333 0.255
Ce 0.675 0.729 0.233
Ce 0.729 0.054 0.767
Ce 0.946 0.675 0.767
Mg 0.000 0.000 0.500
Ir 0.095 0.622 0.258
Ir 0.378 0.474 0.258
Ir 0.474 0.095 0.742
Ir 0.526 0.905 0.258
Ir 0.622 0.526 0.742
Ir 0.905 0.378 0.742

Calculated values
* calculated volume: 24.71 Å³/atom
* formation energy: -0.51 eV/atom
* total DFT energy (no corrections): -7.33 eV per atom